A plane-wave DFT calculation with PBE was carried out for a relaxed NiTeCl2 crystal.

Output
The total energy is -3.28 eV/atom. Its symmetry is No. 71. The value obtained for the formation energy from raw total energies is -0.129 eV/atom. The calculation puts the energy above the lowest structure with this stoichiometry at 270.4 meV/atom.

Unit cell a=7.0009 b=7.0009 c=7.0009 alpha=155.01 beta=107.40 gamma=78.15
With the nearest neighbours (Å) after each atom.
Sites, in units of the cell vectors:
Cl1 0.8915 0.8915 0.0000  2 Ni 2.16
Te1 0.2500 0.7500 0.5000  2 Te 3.03
Ni1 0.7500 0.2500 0.5000  4 Cl 2.16
Cl2 0.6085 0.6085 0.0000  2 Ni 2.16